# 1
Density functional theory data (PBE) for an optimized crystal structure of ScCoPdRh.

Properties
Energy of formation from the pure elements, meV/atom: -389
Raw total energy, eV per cell: -27.538
Calculated volume, Å³/atom: 15.17
Calculated density, g/cm³: 8.57

POSCAR file:
```
ScCoPdRh
1.0
0.000 3.119 3.119
3.119 0.000 3.119
3.119 3.119 0.000
Sc Co Pd Rh
1 1 1 1
Direct
0.000 0.000 0.000
0.500 0.500 0.500
0.250 0.250 0.250
0.750 0.750 0.750
```


# 2
Density functional theory data (PBE) for an optimized crystal structure of AgAuBr5.

Properties
Uncorrected formation energy, eV/atom: -0.1208
Raw total energy, eV per cell: -30.678
Calculated volume, Å³/atom: 33.83
Calculated density, g/cm³: 4.94

POSCAR file:
```
AgAuBr5
1.0
5.254 -6.453 0.000
5.254 6.453 0.000
-4.752 0.000 6.984
Ag Au Br
2 2 10
Direct
0.000 0.500 0.000
0.500 0.000 0.500
0.083 0.917 0.750
0.917 0.083 0.250
0.057 0.611 0.744
0.132 0.231 0.774
0.231 0.132 0.274
0.348 0.652 0.250
0.389 0.943 0.756
0.611 0.057 0.244
0.652 0.348 0.750
0.769 0.868 0.726
0.868 0.769 0.226
0.943 0.389 0.256
```


# 3
Density functional theory data (PBE) for an optimized crystal structure of NiTe2As.

Properties
Uncorrected formation energy, eV/atom: 0.0155
Raw total energy, eV per cell: -16.652
Calculated volume, Å³/atom: 21.92
Calculated density, g/cm³: 7.36

POSCAR file:
```
NiTe2As
1.0
3.393 -1.972 0.000
3.393 1.972 0.000
-2.305 0.000 6.551
Ni Te As
1 2 1
Direct
0.000 0.000 0.000
0.262 0.262 0.786
0.738 0.738 0.214
0.500 0.500 0.500
```


# 4
Density functional theory data (PBE) for an optimized crystal structure of CeDyAsSe.

Properties
Uncorrected formation energy, eV/atom: -1.6770
Raw total energy, eV per cell: -25.378
Calculated volume, Å³/atom: 25.54
Calculated density, g/cm³: 7.42

POSCAR file:
```
CeDyAsSe
1.0
2.077 1.199 6.834
-2.077 1.199 6.834
0.000 -2.399 6.834
Ce Dy As Se
1 1 1 1
Direct
0.000 0.000 0.000
0.495 0.495 0.495
0.750 0.750 0.750
0.244 0.244 0.244
```


# 5
Density functional theory data (PBE) for an optimized crystal structure of InRe2Au.

Properties
Energy of formation from the pure elements, meV/atom: 1201
Raw total energy, eV per cell: -52.212
Calculated volume, Å³/atom: 18.95
Calculated density, g/cm³: 14.99

POSCAR file:
```
InRe2Au
1.0
-3.791 3.791 2.637
3.791 -3.791 2.637
3.791 3.791 -2.637
In Re Au
2 4 2
Direct
0.000 0.000 0.000
0.750 0.250 0.500
0.137 0.625 0.012
0.375 0.387 0.512
0.613 0.125 0.988
0.875 0.863 0.488
0.250 0.750 0.500
0.500 0.500 0.000
```


# 6
Density functional theory data (PBE) for an optimized crystal structure of CrTe3.

Properties
Uncorrected formation energy, eV/atom: 0.3240
Raw total energy, eV per cell: -17.752
Calculated volume, Å³/atom: 29.53
Calculated density, g/cm³: 6.11

POSCAR file:
```
CrTe3
1.0
3.808 0.000 0.000
0.000 5.108 0.000
0.000 0.000 6.074
Cr Te
1 3
Direct
0.000 0.000 0.000
0.000 0.500 0.177
0.500 0.000 0.318
0.500 0.500 0.779
```


# 7
Density functional theory data (PBE) for an optimized crystal structure of Fe2MoIr.

Properties
Energy of formation from the pure elements, meV/atom: -4
Raw total energy, eV per cell: -36.633
Calculated volume, Å³/atom: 13.43
Calculated density, g/cm³: 12.36

POSCAR file:
```
Fe2MoIr
1.0
-1.509 2.108 4.222
1.509 -2.108 4.222
1.509 2.108 -4.222
Fe Mo Ir
2 1 1
Direct
0.000 0.000 0.000
0.774 0.274 0.500
0.250 0.750 0.500
0.517 0.517 0.000
```


# 8
Density functional theory data (PBE) for an optimized crystal structure of Tb13Co2.

Properties
Energy of formation from the pure elements, meV/atom: -17
Raw total energy, eV per cell: -74.667
Calculated volume, Å³/atom: 29.78
Calculated density, g/cm³: 8.12

POSCAR file:
```
Tb13Co2
1.0
6.326 0.000 0.000
1.046 8.054 0.000
0.946 3.971 8.768
Tb Co
13 2
Direct
0.000 0.000 0.000
0.059 0.836 0.687
0.166 0.681 0.386
0.228 0.545 0.069
0.309 0.385 0.773
0.406 0.231 0.446
0.455 0.081 0.149
0.545 0.919 0.851
0.594 0.769 0.554
0.691 0.615 0.227
0.772 0.455 0.931
0.834 0.319 0.614
0.941 0.164 0.313
0.196 0.115 0.715
0.804 0.885 0.285
```


Question: Which formula does entry 8 have?
Answer: Tb13Co2